CaInAs2Br: optimized geometry, GGA-PBEsol.

a = 5.096 Å, b = 5.096 Å, c = 5.590 Å
α = 90.00°, β = 90.00°, γ = 90.00°
Space group P4/mmm (No. 123)
One atom of each set of equivalent atoms:
Ca1 0.000 0.000 0.000 x1
In1 0.500 0.500 0.500 x1
As1 0.000 0.500 0.500 x2
Br1 0.500 0.500 0.000 x1

## Properties
E_tot = -3.54 eV per atom
N(E_F) = 3.50 states/eV/f.u.
Uncorrected formation energy = -103 meV/atom